Compound: Ba4Ni
Source: Alexandria via LeMat-Bulk
Functional: PBE
Structure: relaxed

abc: 9.084 8.705 8.939
angles: 74.63 59.46 58.55
Fractional positions:
Ba  0.422  0.768  0.829
Ba  0.020  0.232  0.171
Ba  0.013  0.267  0.680
Ba  0.961  0.733  0.320
Ba  0.531  0.233  0.180
Ba  0.944  0.767  0.820
Ba  0.501  0.268  0.671
Ba  0.441  0.732  0.329
Ni  0.236  0.500  0.500
Ni  0.986  0.000  0.000

The formation energy comes out at -0.0014 eV/atom. The relative energy among the computed polymorphs is 0 meV/atom. The density of states at the Fermi level is 8.8 states/eV/cell.